# 1
# DyPuIn4 | Alexandria | PBE-GGA | relaxed
data_DyPuIn4
_chemical_formula_sum 'Dy4 Pu4 In16'
_cell_length_a 8.520
_cell_length_b 8.520
_cell_length_c 8.520
_cell_angle_alpha 90.00
_cell_angle_beta 90.00
_cell_angle_gamma 90.00
_symmetry_space_group_name_H-M 'F -4 3 m'
_symmetry_Int_Tables_number 216
_symmetry_space_group_name_Hall 'F -4 2 3'
loop_
_atom_site_label
_atom_site_type_symbol
_atom_site_fract_x
_atom_site_fract_y
_atom_site_fract_z
Dy1 Dy 0.000 0.000 0.000
Pu1 Pu 0.250 0.250 0.250
In1 In 0.125 0.125 0.625
# * ΔE to the lowest computed polymorph: 0.47 eV per formula unit
# * energy: -5.18 eV/atom
# * magnetic moment: 1.09 μB per atom
# * mass density: 9.30 g/cm³

---

# 2
# Dy2PuIn | Alexandria | PBE-GGA | relaxed
data_Dy2PuIn
_chemical_formula_sum 'Dy2 Pu1 In1'
_cell_length_a 3.508
_cell_length_b 3.508
_cell_length_c 9.057
_cell_angle_alpha 90.00
_cell_angle_beta 90.00
_cell_angle_gamma 90.00
_symmetry_space_group_name_H-M 'P 4/m m m'
_symmetry_Int_Tables_number 123
_symmetry_space_group_name_Hall '-P 4 2'
loop_
_atom_site_label
_atom_site_type_symbol
_atom_site_fract_x
_atom_site_fract_y
_atom_site_fract_z
Dy1 Dy 0.000 0.000 0.235
Pu1 Pu 0.500 0.500 0.500
In1 In 0.500 0.500 0.000
# * ΔE to the lowest computed polymorph: 0.02 eV per formula unit
# * energy: -6.71 eV/atom
# * magnetic moment: 1.50 μB per atom
# * mass density: 10.19 g/cm³

---

# 3
# DyPuIn6 | Alexandria | PBE-GGA | relaxed
data_DyPuIn6
_chemical_formula_sum 'Dy1 Pu1 In6'
_cell_length_a 4.642
_cell_length_b 4.642
_cell_length_c 9.300
_cell_angle_alpha 90.00
_cell_angle_beta 90.00
_cell_angle_gamma 90.00
_symmetry_space_group_name_H-M 'P 4/m m m'
_symmetry_Int_Tables_number 123
_symmetry_space_group_name_Hall '-P 4 2'
loop_
_atom_site_label
_atom_site_type_symbol
_atom_site_fract_x
_atom_site_fract_y
_atom_site_fract_z
Dy1 Dy 0.000 0.000 0.000
Pu1 Pu 0.000 0.000 0.500
In1 In 0.000 0.500 0.250
In2 In 0.500 0.500 0.000
In3 In 0.500 0.500 0.500
# * ΔE to the lowest computed polymorph: 0.00 eV per formula unit
# * energy: -4.74 eV/atom
# * magnetic moment: 0.71 μB per atom
# * mass density: 9.08 g/cm³

---

# 4
# DyPuIn | Alexandria | PBE-GGA | relaxed
data_DyPuIn
_chemical_formula_sum 'Dy2 Pu2 In2'
_cell_length_a 3.355
_cell_length_b 3.355
_cell_length_c 14.677
_cell_angle_alpha 90.00
_cell_angle_beta 90.00
_cell_angle_gamma 90.00
_symmetry_space_group_name_H-M 'I 4 m m'
_symmetry_Int_Tables_number 107
_symmetry_space_group_name_Hall 'I 4 -2'
loop_
_atom_site_label
_atom_site_type_symbol
_atom_site_fract_x
_atom_site_fract_y
_atom_site_fract_z
Dy1 Dy 0.000 0.000 0.000
Pu1 Pu 0.000 0.000 0.683
In1 In 0.000 0.000 0.343
# * ΔE to the lowest computed polymorph: 0.00 eV per formula unit
# * energy: -7.34 eV/atom
# * magnetic moment: 1.99 μB per atom
# * mass density: 10.48 g/cm³

---

| no. | formation energy from the elements (eV per atom) |
| --- | --- |
| 1 | -0.203 |
| 2 | -0.142 |
| 3 | -0.323 |
| 4 | -0.112 |